# 1
DFT (PBE) results for U2Nb3Si4 after structural relaxation.

```
36
Lattice="7.047 0.000 0.000 0.000 7.047 0.000 0.000 0.000 12.975" Properties=species:S:1:pos:R:3 pbc="T T T"
U 0.035 2.341 0.403
U 1.183 3.559 3.647
U 2.341 0.035 12.572
U 3.489 5.865 2.841
U 3.559 1.183 9.328
U 4.706 7.012 6.085
U 5.865 3.489 10.134
U 7.012 4.706 6.890
Nb 0.005 1.100 8.103
Nb 1.100 0.005 4.872
Nb 1.188 5.859 9.731
Nb 2.336 2.336 6.488
Nb 2.423 3.528 11.347
Nb 3.519 4.624 8.115
Nb 3.528 2.423 1.628
Nb 4.624 3.519 4.860
Nb 4.711 4.711 0.000
Nb 5.859 1.188 3.244
Nb 5.947 7.042 11.359
Nb 7.042 5.947 1.616
Si 0.285 4.958 12.125
Si 0.910 1.461 10.592
Si 1.434 3.239 8.881
Si 1.461 0.910 2.383
Si 2.063 4.434 0.861
Si 2.090 6.762 7.337
Si 2.613 4.984 5.626
Si 3.239 1.434 4.094
Si 3.809 5.613 10.581
Si 4.434 2.063 12.114
Si 4.958 0.285 0.850
Si 4.984 2.613 7.349
Si 5.586 6.137 8.870
Si 5.613 3.809 2.394
Si 6.137 5.586 4.105
Si 6.762 2.090 5.638
```

## Properties
crystal system: tetragonal
raw total energy: -0.6502 Ry/atom
Fermi-level density of states: 1.483 states/eV/atom
energy relative to the elements, uncorrected: -0.571 eV/atom
SG: P4_12_12 (92)

# 2
DFT (PBE) results for ScZnMo3 after structural relaxation.

```
5
Lattice="4.620 0.000 0.000 0.000 4.620 0.000 0.000 0.000 4.620" Properties=species:S:1:pos:R:3 pbc="T T T"
Sc 0.000 0.000 0.000
Zn 2.310 2.310 2.310
Mo 0.000 2.310 2.310
Mo 2.310 0.000 2.310
Mo 2.310 2.310 0.000
```

## Properties
crystal system: cubic
raw total energy: -0.4907 Ry/atom
ΔH_f (0 K): 1344 meV/atom
Fermi-level density of states: 1.451 states/eV/atom
excess energy over the best structure of this formula in the dataset: 0.000 eV/f.u.
SG: Pm-3m (221)

Question: Number 2 is which compound?
Answer: ScZnMo3